VASP calculation (PBE-GGA) on a relaxed Sr2LiNiSb crystal.

Structure (POSCAR):
```
Sr2LiNiSb
1.0
-2.0979 -1.6981 -5.6400
-2.9574 -3.3619 2.1122
-4.5544 4.2642 0.4103
Li Sr Sb Ni
1 2 1 1
direct
0.0000 0.5000 0.0000
0.5000 0.0000 0.0000
0.0000 0.0000 0.5000
0.0000 0.0000 0.0000
0.5000 0.5000 0.5000
```

Values from the calculation:
Electronic total energy ... -2.9486 eV/atom
SG ... P4/mmm
Raw formation energy ... 42 kJ/mol of formula units
Mass density ... 3.1 g/cm³